1.
KBIrO6 | PBE | optimized geometry

Computed properties:
SG: P1 (1)
DFT total energy (eV/atom): -6.30
Total moment (μB/cell): 0.992
Formation energy without anion corrections (meV per atom): -1146
Volume (Å³ per cell): 155.55

Cell: 5.521 5.544 6.070 Å, 103.37 95.98 59.38°
Each line ends with the local moment (μB).
Positions (direct):
K1 0.965 0.014 0.061  0.00
B1 0.872 0.708 0.416  0.01
Ir1 0.331 0.316 0.530  0.37
O1 0.042 0.464 0.261  0.04
O2 0.175 0.103 0.519  -0.01
O3 0.482 0.306 0.808  0.45
O4 0.986 0.688 0.638  0.00
O5 0.496 0.460 0.414  -0.02
O6 0.651 0.941 0.353  0.02



2.
KReBIr2 | PBE | optimized geometry

Computed properties:
SG: P4/mmm (123)
DFT total energy (eV/atom): -6.31
Total moment (μB/cell): 0.000
DFT formation energy (eV/atom): 1.28
Volume (Å³ per cell): 102.74

Cell: 4.836 4.393 4.836 Å, 90.00 90.00 90.00°
Positions (direct):
Re1 0.000 0.000 0.000
K1 0.500 0.500 0.500
Ir1 0.000 0.000 0.500
Ir2 0.500 0.000 0.000
B1 0.000 0.500 0.000



3.
KBIrRu2 | PBE | optimized geometry

Computed properties:
SG: P4/mmm (123)
DFT total energy (eV/atom): -4.79
Total moment (μB/cell): 0.978
DFT formation energy (eV/atom): 2.25
Volume (Å³ per cell): 129.19

Cell: 4.693 5.867 4.693 Å, 90.00 90.00 90.00°
Each line ends with the local moment (μB).
Positions (direct):
Ru1 0.000 0.000 0.500  0.79
Ru2 0.500 0.000 0.000  0.45
K1 0.000 0.500 0.000  -0.01
Ir1 0.000 0.000 0.000  0.04
B1 0.500 0.500 0.500  -0.14



4.
KTaB2Ir | PBE | optimized geometry

Computed properties:
SG: P4/mmm (123)
DFT total energy (eV/atom): -4.63
Total moment (μB/cell): 1.698
DFT formation energy (eV/atom): 2.41
Volume (Å³ per cell): 100.27

Cell: 4.320 5.372 4.320 Å, 90.00 90.00 90.00°
Each line ends with the local moment (μB).
Positions (direct):
K1 0.000 0.500 0.000  0.04
Ir1 0.500 0.500 0.500  1.03
B1 0.000 0.000 0.500  0.00
B2 0.500 0.000 0.000  0.02
Ta1 0.000 0.000 0.000  0.42



5.
K2TiBIr | PBE | optimized geometry

Computed properties:
SG: P4/mmm (123)
DFT total energy (eV/atom): -3.58
Total moment (μB/cell): 0.870
DFT formation energy (eV/atom): 1.55
Volume (Å³ per cell): 135.54

Cell: 5.731 4.126 5.731 Å, 90.00 90.00 90.00°
Each line ends with the local moment (μB).
Positions (direct):
K1 0.000 0.000 0.500  -0.01
K2 0.500 0.000 0.000  0.00
Ir1 0.500 0.500 0.500  1.20
B1 0.000 0.000 0.000  0.03
Ti1 0.000 0.500 0.000  -0.30



6.
K2ZnBIr | PBE | optimized geometry

Computed properties:
SG: P4/mmm (123)
DFT total energy (eV/atom): -2.36
Total moment (μB/cell): 1.094
DFT formation energy (eV/atom): 1.44
Volume (Å³ per cell): 178.24

Cell: 6.064 6.064 4.848 Å, 90.00 90.00 90.00°
Each line ends with the local moment (μB).
Positions (direct):
Zn1 0.000 0.000 0.500  -0.01
Ir1 0.000 0.000 0.000  -0.10
K1 0.000 0.500 0.000  0.01
K2 0.500 0.000 0.000  0.01
B1 0.500 0.500 0.500  0.40



7.
LaB6Ir12 | PBE | optimized geometry

Computed properties:
SG: R-3m (166)
DFT total energy (eV/atom): -8.26
Total moment (μB/cell): 0.000
DFT formation energy (eV/atom): -0.30
Volume (Å³ per cell): 252.36

Cell: 6.561 6.561 6.561 Å, 103.93 103.93 103.93°
Positions (direct):
La1 0.000 0.000 0.000
B1 0.664 0.229 0.229
B2 0.229 0.229 0.664
B3 0.229 0.664 0.229
B4 0.771 0.771 0.336
B5 0.336 0.771 0.771
B6 0.771 0.336 0.771
Ir1 0.865 0.135 0.500
Ir2 0.815 0.553 0.553
Ir3 0.553 0.553 0.815
Ir4 0.447 0.185 0.447
Ir5 0.447 0.447 0.185
Ir6 0.185 0.447 0.447
Ir7 0.135 0.500 0.865
Ir8 0.500 0.865 0.135
Ir9 0.135 0.865 0.500
Ir10 0.865 0.500 0.135
Ir11 0.500 0.135 0.865
Ir12 0.553 0.815 0.553



8.
LaBIr2 | PBE | optimized geometry

Computed properties:
SG: R-3m (166)
DFT total energy (eV/atom): -7.54
Total moment (μB/cell): 0.000
DFT formation energy (eV/atom): -0.21
Volume (Å³ per cell): 71.66

Cell: 3.884 3.884 5.926 Å, 70.87 70.87 60.00°
Positions (direct):
B1 0.500 0.500 0.500
Ir1 0.794 0.794 0.619
Ir2 0.206 0.206 0.381
La1 0.000 0.000 0.000



9.
LaB2Ir3 | PBE | optimized geometry

Computed properties:
SG: P6/mmm (191)
DFT total energy (eV/atom): -7.75
Excess energy over the best structure of this formula in the dataset (eV per formula unit): 2.20
Total moment (μB/cell): 0.000
DFT formation energy (eV/atom): -0.28
Volume (Å³ per cell): 260.80

Cell: 3.623 9.117 9.117 Å, 120.00 90.00 90.00°
Positions (direct):
La1 0.500 0.000 0.000
La2 0.000 0.667 0.333
La3 0.000 0.333 0.667
B1 0.500 0.815 0.185
B2 0.500 0.370 0.185
B3 0.500 0.815 0.630
B4 0.500 0.185 0.815
B5 0.500 0.630 0.815
B6 0.500 0.185 0.370
Ir1 0.500 0.500 0.500
Ir2 0.500 0.000 0.500
Ir3 0.500 0.500 0.000
Ir4 0.000 0.717 0.717
Ir5 0.000 0.000 0.283
Ir6 0.000 0.283 0.000
Ir7 0.000 0.283 0.283
Ir8 0.000 0.000 0.717
Ir9 0.000 0.717 0.000



10.
LaB2Ir3 | PBE | optimized geometry

Computed properties:
SG: P6/mmm (191)
DFT total energy (eV/atom): -8.12
Excess energy over the best structure of this formula in the dataset (eV per formula unit): 0.00
Total moment (μB/cell): 0.005
DFT formation energy (eV/atom): -0.64
Volume (Å³ per cell): 84.70

Cell: 5.581 5.581 3.139 Å, 90.00 90.00 120.00°
Positions (direct):
La1 0.000 0.000 0.000
B1 0.667 0.333 0.000
B2 0.333 0.667 0.000
Ir1 0.500 0.500 0.500
Ir2 0.500 0.000 0.500
Ir3 0.000 0.500 0.500



11.
LaB3Ir | PBE | optimized geometry

Computed properties:
SG: Pm-3m (221)
DFT total energy (eV/atom): -3.90
Excess energy over the best structure of this formula in the dataset (eV per formula unit): 13.50
Total moment (μB/cell): 0.000
DFT formation energy (eV/atom): 2.86
Volume (Å³ per cell): 82.59

Cell: 4.355 4.355 4.355 Å, 90.00 90.00 90.00°
Positions (direct):
B1 0.000 0.500 0.000
B2 0.000 0.000 0.500
B3 0.500 0.000 0.000
Ir1 0.500 0.500 0.500
La1 0.000 0.000 0.000



12.
LaB3Ir | PBE | optimized geometry

Computed properties:
SG: Pm-3m (221)
DFT total energy (eV/atom): -6.60
Excess energy over the best structure of this formula in the dataset (eV per formula unit): 0.00
Total moment (μB/cell): 0.000
DFT formation energy (eV/atom): 0.16
Volume (Å³ per cell): 71.72

Cell: 4.155 4.155 4.155 Å, 90.00 90.00 90.00°
Positions (direct):
B1 0.000 0.500 0.000
B2 0.000 0.000 0.500
B3 0.500 0.000 0.000
Ir1 0.000 0.000 0.000
La1 0.500 0.500 0.500